# 1
Computed, not measured: an optimized crystal structure of Cr2CdCoPb at the PBE-GGA level of DFT.

Properties
* SG: P4/mmm
* excess energy over the best structure of this formula in the dataset: 0.8707 eV/atom
* density of states at the Fermi level: 0.53 states/eV/atom
* ΔE_f: 1718 meV/atom

abc: 5.265 5.265 5.436
angles: 90.00 90.00 90.00
Element x y z (fractional)
Cr 0.000 0.500 0.000
Cr 0.500 0.000 0.000
Cd 0.000 0.000 0.500
Co 0.500 0.500 0.500
Pb 0.000 0.000 0.000

***

# 2
Computed, not measured: an optimized crystal structure of AgRh at the PBE-GGA level of DFT.

Properties
* SG: P4/nmm
* density of states at the Fermi level: 0.92 states/eV/atom
* ΔE_f: 139 meV/atom

abc: 2.796 2.796 8.174
angles: 90.00 90.00 90.00
Element x y z (fractional)
Ag 0.250 0.250 0.135
Ag 0.750 0.750 0.865
Rh 0.250 0.250 0.606
Rh 0.750 0.750 0.394

***

# 3
Computed, not measured: an optimized crystal structure of RbCd3C at the PBE-GGA level of DFT.

Properties
* SG: Pm-3m
* excess energy over the best structure of this formula in the dataset: 0.9267 eV/atom
* density of states at the Fermi level: 4.66 states/eV/atom
* ΔE_f: 1771 meV/atom

abc: 7.270 7.270 7.270
angles: 90.00 90.00 90.00
Element x y z (fractional)
Rb 0.000 0.000 0.000
Cd 0.000 0.000 0.500
Cd 0.000 0.500 0.000
Cd 0.500 0.000 0.000
C 0.500 0.500 0.500